Entry from Alexandria: a relaxed KLiPb2 crystal (PBE-GGA).

Lattice parameters (Å, degrees): 3.7596 4.7682 7.2543 90.00 90.12 90.00
Last column: nearest neighbours and their distance in Å.
Sites, in units of the cell vectors:
K (0.0000, 0.0000, 0.0000)  6 Pb 3.57-3.78, 2 K 3.76, 2 Li 3.90
Li (0.9972, 0.5000, 0.4259)  6 Pb 2.96-3.04
Pb (0.4977, 0.0000, 0.4514)  4 Li 3.04, 2 Pb 3.18
Pb (0.4990, 0.5000, 0.7411)  2 Li 2.96, 2 Pb 3.18

Formation energy from the elements   -0.1453 eV/atom
Density of states at the Fermi level   0.401 states/eV/atom
SG   Pm (6)
Crystal system   monoclinic
DFT total energy   -11.009 eV for the cell shown

Entry from Alexandria: a relaxed CaCd11Pb crystal (PBE-GGA).

Lattice parameters (Å, degrees): 7.7864 7.7864 7.7869 99.14 99.14 132.16
Last column: nearest neighbours and their distance in Å.
Sites, in units of the cell vectors:
Ca (0.0000, 0.0000, 0.0000)  18 Cd 3.58-3.94, 2 Pb 3.89
Cd (0.0000, 0.5000, 0.0000)  10 Cd 2.91-3.18
Cd (0.0098, 0.3712, 0.3479)  6 Cd 2.94-3.25, 1 Pb 3.25
Cd (0.3107, 0.5254, 0.7933)  7 Cd 2.91-3.25, 1 Pb 3.13
Cd (0.3712, 0.0098, 0.3479)  6 Cd 2.94-3.25, 1 Pb 3.25
Cd (0.4746, 0.6893, 0.2067)  7 Cd 2.91-3.25, 1 Pb 3.13
Cd (0.5000, 0.0000, 0.0000)  10 Cd 2.91-3.18
Cd (0.5000, 0.5000, 0.5000)  8 Cd 2.96-3.17, 2 Pb 3.16
Cd (0.5254, 0.3107, 0.7933)  7 Cd 2.91-3.25, 1 Pb 3.13
Cd (0.6288, 0.9902, 0.6521)  6 Cd 2.94-3.25, 1 Pb 3.25
Cd (0.6893, 0.4746, 0.2067)  7 Cd 2.91-3.25, 1 Pb 3.13
Cd (0.9902, 0.6288, 0.6521)  6 Cd 2.94-3.25, 1 Pb 3.25
Pb (0.0000, 0.0000, 0.5000)  10 Cd 3.13-3.25

Formation energy from the elements   -0.0479 eV/atom
Density of states at the Fermi level   0.280 states/eV/atom
SG   C2/m (12)
Crystal system   monoclinic
DFT total energy   -16.399 eV for the cell shown

Entry from Alexandria: a relaxed CaIn5Pd3 crystal (PBE-GGA).

Lattice parameters (Å, degrees): 7.4555 7.4555 14.0538 90.00 90.00 147.14
Last column: nearest neighbours and their distance in Å.
Sites, in units of the cell vectors:
Ca (0.1692, 0.8308, 0.7500)  6 Pd 3.32-3.60
Ca (0.8308, 0.1692, 0.2500)  6 Pd 3.32-3.60
In (0.0000, 0.0000, 0.0000)  4 Pd 2.72
In (0.0000, 0.0000, 0.5000)  4 Pd 2.72
In (0.2056, 0.7944, 0.0647)  2 Pd 2.67-2.72
In (0.2056, 0.7944, 0.4353)  2 Pd 2.67-2.72
In (0.4400, 0.5600, 0.6500)  4 Pd 2.78-2.92, 3 In 2.81-3.10
In (0.4400, 0.5600, 0.8500)  4 Pd 2.78-2.92, 3 In 2.81-3.10
In (0.5600, 0.4400, 0.1500)  4 Pd 2.78-2.92, 3 In 2.81-3.10
In (0.5600, 0.4400, 0.3500)  4 Pd 2.78-2.92, 3 In 2.81-3.10
In (0.7944, 0.2056, 0.5647)  2 Pd 2.67-2.72
In (0.7944, 0.2056, 0.9353)  2 Pd 2.67-2.72
Pd (0.1513, 0.8487, 0.2500)  6 In 2.72-2.85
Pd (0.3917, 0.6083, 0.0517)  5 In 2.67-2.92
Pd (0.3917, 0.6083, 0.4483)  5 In 2.67-2.92
Pd (0.6083, 0.3917, 0.5517)  5 In 2.67-2.92
Pd (0.6083, 0.3917, 0.9483)  5 In 2.67-2.92
Pd (0.8487, 0.1513, 0.7500)  6 In 2.72-2.85

Formation energy from the elements   -0.3775 eV/atom
Density of states at the Fermi level   0.385 states/eV/atom
SG   Cmcm (63)
Crystal system   orthorhombic
DFT total energy   -69.340 eV for the cell shown

Entry from Alexandria: a relaxed RhW5 crystal (PBE-GGA).

Lattice parameters (Å, degrees): 5.2063 5.2063 5.2063 60.00 60.00 60.00
Last column: nearest neighbours and their distance in Å.
Sites, in units of the cell vectors:
Rh (0.0000, 0.0000, 0.0000)  16 W 3.05-3.19
W (0.1277, 0.6241, 0.6241)  6 W 2.58-2.62
W (0.2500, 0.2500, 0.2500)  12 W 3.05, 4 Rh 3.19
W (0.6241, 0.1277, 0.6241)  6 W 2.58-2.62
W (0.6241, 0.6241, 0.1277)  6 W 2.58-2.62
W (0.6241, 0.6241, 0.6241)  6 W 2.58-2.62

Formation energy from the elements   0.4016 eV/atom
Density of states at the Fermi level   0.863 states/eV/atom
SG   F-43m (216)
Crystal system   cubic
DFT total energy   -69.708 eV for the cell shown

Entry from Alexandria: a relaxed Hf2FeP2 crystal (PBE-GGA).

Lattice parameters (Å, degrees): 5.9523 5.9523 4.1387 90.00 90.00 90.00
Last column: nearest neighbours and their distance in Å.
Sites, in units of the cell vectors:
Hf (0.1716, 0.3284, 0.0000)  6 P 2.62-2.78, 1 Hf 2.89
Hf (0.3284, 0.8284, 0.0000)  6 P 2.62-2.78, 1 Hf 2.89
Hf (0.6716, 0.1716, 0.0000)  6 P 2.62-2.78, 1 Hf 2.89
Hf (0.8284, 0.6716, 0.0000)  6 P 2.62-2.78, 1 Hf 2.89
Fe (0.0000, 0.0000, 0.5000)  4 P 2.31
Fe (0.5000, 0.5000, 0.5000)  4 P 2.31
P (0.1378, 0.6378, 0.5000)  2 Fe 2.31, 1 P 2.32
P (0.3622, 0.1378, 0.5000)  2 Fe 2.31, 1 P 2.32
P (0.6378, 0.8622, 0.5000)  2 Fe 2.31, 1 P 2.32
P (0.8622, 0.3622, 0.5000)  2 Fe 2.31, 1 P 2.32

Formation energy from the elements   -0.8545 eV/atom
Density of states at the Fermi level   0.057 states/eV/atom
SG   P4/mbm (127)
Crystal system   tetragonal
DFT total energy   -86.924 eV for the cell shown

Entry from Alexandria: a relaxed PdPtPb2 crystal (PBE-GGA).

Lattice parameters (Å, degrees): 4.8962 4.8962 3.5458 90.00 90.00 90.00
Last column: nearest neighbours and their distance in Å.
Sites, in units of the cell vectors:
Pd (0.0000, 0.0000, 0.0000)  8 Pb 3.02
Pt (0.5000, 0.5000, 0.0000)  8 Pb 3.02
Pb (0.0000, 0.5000, 0.5000)  4 Pd 3.02, 4 Pt 3.02
Pb (0.5000, 0.0000, 0.5000)  4 Pd 3.02, 4 Pt 3.02

Formation energy from the elements   -0.0772 eV/atom
Density of states at the Fermi level   0.599 states/eV/atom
SG   P4/mmm (123)
Crystal system   tetragonal
DFT total energy   -18.959 eV for the cell shown

Entry from Alexandria: a relaxed Nd3Ge2Br crystal (PBE-GGA).

Lattice parameters (Å, degrees): 7.9436 7.9436 9.7258 90.00 90.00 147.17
Last column: nearest neighbours and their distance in Å.
Sites, in units of the cell vectors:
Nd (0.1294, 0.8706, 0.5447)  3 Ge 2.94-3.02
Nd (0.1294, 0.8706, 0.9553)  3 Ge 2.94-3.02
Nd (0.3670, 0.6330, 0.7500)  4 Ge 2.90-3.17, 2 Br 3.18
Nd (0.6330, 0.3670, 0.2500)  4 Ge 2.90-3.17, 2 Br 3.18
Nd (0.8706, 0.1294, 0.0447)  3 Ge 2.94-3.02
Nd (0.8706, 0.1294, 0.4553)  3 Ge 2.94-3.02
Ge (0.0120, 0.9880, 0.2500)  4 Nd 2.90-2.94
Ge (0.5000, 0.5000, 0.0000)  6 Nd 3.02-3.17, 4 Ge 3.31
Ge (0.5000, 0.5000, 0.5000)  6 Nd 3.02-3.17, 4 Ge 3.31
Ge (0.9880, 0.0120, 0.7500)  4 Nd 2.90-2.94
Br (0.2806, 0.7194, 0.2500)  6 Nd 3.18-3.30
Br (0.7194, 0.2806, 0.7500)  6 Nd 3.18-3.30

Formation energy from raw total energies   -665 meV/atom
Density of states at the Fermi level   0.755 states/eV/atom
SG   Cmcm (63)
Crystal system   orthorhombic
DFT total energy   -58.400 eV for the cell shown

Entry from Alexandria: a relaxed La2ZnRe crystal (PBE-GGA).

Lattice parameters (Å, degrees): 9.3761 9.3761 9.3761 22.62 22.62 22.62
Last column: nearest neighbours and their distance in Å.
Sites, in units of the cell vectors:
La (0.2420, 0.2420, 0.2420)  3 Re 2.96, 3 Zn 3.28
La (0.7580, 0.7580, 0.7580)  3 Re 2.96, 3 Zn 3.28
Zn (0.0000, 0.0000, 0.0000)  6 La 3.28
Re (0.5000, 0.5000, 0.5000)  6 La 2.96

Formation energy from the elements   0.3919 eV/atom
Density of states at the Fermi level   1.350 states/eV/atom
SG   R-3m (166)
Crystal system   trigonal
DFT total energy   -22.010 eV for the cell shown

Entry from Alexandria: a relaxed TiZnAgP3O12 crystal (PBE-GGA).

Lattice parameters (Å, degrees): 8.5655 8.5655 8.5655 61.91 61.91 61.91
Last column: nearest neighbours and their distance in Å.
Sites, in units of the cell vectors:
Ti (0.0000, 0.0000, 0.0000)  6 O 1.91-2.10
Ti (0.5000, 0.5000, 0.5000)  6 O 1.91-2.10
Zn (0.1498, 0.1498, 0.1498)  6 O 2.19
Zn (0.6498, 0.6498, 0.6498)  6 O 2.19
Ag (0.2942, 0.2942, 0.2942)  6 O 2.09-2.18
Ag (0.7942, 0.7942, 0.7942)  6 O 2.09-2.18
P (0.0977, 0.3876, 0.7007)  4 O 1.52-1.57
P (0.2007, 0.8876, 0.5977)  4 O 1.52-1.57
P (0.3876, 0.7007, 0.0977)  4 O 1.52-1.57
P (0.5977, 0.2007, 0.8876)  4 O 1.52-1.57
P (0.7007, 0.0977, 0.3876)  4 O 1.52-1.57
P (0.8876, 0.5977, 0.2007)  4 O 1.52-1.57
O (0.0429, 0.4044, 0.2191)  1 P 1.55
O (0.0554, 0.8230, 0.6127)  1 P 1.52
O (0.0946, 0.2277, 0.8929)  1 P 1.57
O (0.1127, 0.3230, 0.5554)  1 P 1.52
O (0.1404, 0.9504, 0.7682)  1 P 1.57
O (0.2191, 0.0429, 0.4044)  1 P 1.55
O (0.2277, 0.8929, 0.0946)  1 P 1.57
O (0.2682, 0.4504, 0.6404)  1 P 1.57
O (0.3230, 0.5554, 0.1127)  1 P 1.52
O (0.3929, 0.7277, 0.5946)  1 P 1.57
O (0.4044, 0.2191, 0.0429)  1 P 1.55
O (0.4504, 0.6404, 0.2682)  1 P 1.57
O (0.5429, 0.7191, 0.9044)  1 P 1.55
O (0.5554, 0.1127, 0.3230)  1 P 1.52
O (0.5946, 0.3929, 0.7277)  1 P 1.57
O (0.6127, 0.0554, 0.8230)  1 P 1.52
O (0.6404, 0.2682, 0.4504)  1 P 1.57
O (0.7191, 0.9044, 0.5429)  1 P 1.55
O (0.7277, 0.5946, 0.3929)  1 P 1.57
O (0.7682, 0.1404, 0.9504)  1 P 1.57
O (0.8230, 0.6127, 0.0554)  1 P 1.52
O (0.8929, 0.0946, 0.2277)  1 P 1.57
O (0.9044, 0.5429, 0.7191)  1 P 1.55
O (0.9504, 0.7682, 0.1404)  1 P 1.57

Formation energy from raw total energies   -1877 meV/atom
Density of states at the Fermi level   0.141 states/eV/atom
SG   R3c (161)
Crystal system   trigonal
DFT total energy   -243.080 eV for the cell shown

Entry from Alexandria: a relaxed KBPt crystal (PBE-GGA).

Lattice parameters (Å, degrees): 7.5030 7.0747 9.2056 52.94 48.80 78.26
Last column: nearest neighbours and their distance in Å.
Sites, in units of the cell vectors:
K (0.1998, 0.8002, 0.3797)  2 B 3.08-3.12, 3 Pt 3.37-3.40
K (0.6297, 0.8703, 0.4498)  2 B 3.08-3.12, 3 Pt 3.37-3.40
K (0.8002, 0.1998, 0.6203)  2 B 3.08-3.12, 3 Pt 3.37-3.40
K (0.8703, 0.6297, 0.0502)  2 B 3.08-3.12, 3 Pt 3.37-3.40
B (0.2679, 0.9652, 0.8938)  3 Pt 2.03-2.14
B (0.3562, 0.3769, 0.9821)  3 Pt 2.03-2.14
B (0.3769, 0.3562, 0.2848)  3 Pt 2.03-2.14
B (0.9652, 0.2679, 0.8731)  3 Pt 2.03-2.14
Pt (0.2220, 0.2535, 0.9106)  3 B 2.03-2.14
Pt (0.2535, 0.2220, 0.6139)  3 B 2.03-2.14
Pt (0.3394, 0.6361, 0.0280)  3 B 2.03-2.14
Pt (0.6361, 0.3394, 0.9965)  3 B 2.03-2.14

Formation energy from the elements   -0.1249 eV/atom
Density of states at the Fermi level   0.423 states/eV/atom
SG   Fdd2 (43)
Crystal system   orthorhombic
DFT total energy   -56.761 eV for the cell shown

Entry from Alexandria: a relaxed Mn2OsCl crystal (PBE-GGA).

Lattice parameters (Å, degrees): 5.1707 5.1707 4.4011 98.32 98.32 32.10
Last column: nearest neighbours and their distance in Å.
Sites, in units of the cell vectors:
Mn (0.0000, 0.0000, 0.0000)  1 Cl 2.46, 2 Os 2.58
Mn (0.7067, 0.7067, 0.5836)  3 Os 2.58-2.82, 4 Cl 2.63-2.69, 2 Mn 2.86
Os (0.4443, 0.4443, 0.5092)  1 Cl 2.46, 3 Mn 2.58
Cl (0.2500, 0.2500, 0.0908)  5 Mn 2.46-2.69, 1 Os 2.46

Formation energy from raw total energies   504 meV/atom
Density of states at the Fermi level   0.919 states/eV/atom
SG   Cm (8)
Crystal system   monoclinic
DFT total energy   -29.399 eV for the cell shown

Entry from Alexandria: a relaxed MgOsRu crystal (PBE-GGA).

Lattice parameters (Å, degrees): 4.1921 5.3778 5.3780 85.40 67.11 67.14
Last column: nearest neighbours and their distance in Å.
Sites, in units of the cell vectors:
Mg (0.2482, 0.1823, 0.3211)  6 Ru 2.90-3.21, 5 Os 2.91-3.09
Mg (0.7518, 0.8177, 0.6789)  6 Ru 2.90-3.21, 5 Os 2.91-3.09
Os (0.0731, 0.7743, 0.0798)  3 Ru 2.42-2.49, 1 Os 2.43
Os (0.9269, 0.2257, 0.9202)  3 Ru 2.42-2.49, 1 Os 2.43
Ru (0.4332, 0.4044, 0.7298)  3 Os 2.42-2.49, 1 Ru 2.54
Ru (0.5668, 0.5956, 0.2702)  3 Os 2.42-2.49, 1 Ru 2.54

Formation energy from the elements   0.1394 eV/atom
Density of states at the Fermi level   0.578 states/eV/atom
SG   P-1 (2)
Crystal system   triclinic
DFT total energy   -43.364 eV for the cell shown